Entry from Alexandria via LeMat-Bulk: a relaxed Re2O7F2 crystal (PBE-GGA).

The structure belongs to space group C2/c (No. 15); the cell edges are 8.304, 10.645 and 9.749 Å and the angles 90.00°, 99.05° and 90.00°. The asymmetric unit holds Re at (0.197, 0.194, 0.241), O at (0.000, 0.063, 0.250), O at (0.006, 0.225, 0.119), O at (0.182, 0.370, 0.868), O at (0.232, 0.156, 0.728) and F at (0.215, 0.389, 0.594).

The calculation puts the volume at 19.343 Å³/atom. The formation energy (no corrections) is -14.269 eV/f.u.

***

Entry from Alexandria via LeMat-Bulk: a relaxed ZnTc2Se crystal (PBE-GGA).

The structure belongs to space group C2/m (No. 12); the cell edges are 5.532, 8.318 and 2.951 Å and the angles 90.00°, 115.34° and 90.00°. The asymmetric unit holds Zn at (0.000, 0.000, 0.000), Tc at (0.250, 0.250, 0.500) and Se at (0.000, 0.500, 0.000).

The calculation puts the volume at 15.341 Å³/atom. The formation energy (no corrections) is 1.864 eV/f.u.

***

Entry from Alexandria via LeMat-Bulk: a relaxed UTa2Os crystal (PBE-GGA).

The structure belongs to space group P4/mmm (No. 123); the cell edges are 3.038, 3.038 and 8.047 Å and the angles 90.00°, 90.00° and 90.00°. The asymmetric unit holds U at (0.000, 0.000, 0.000), Ta at (0.500, 0.500, 0.288) and Os at (0.000, 0.000, 0.500).

Its energy relative to the elements is -1 kJ per mole of atoms. The calculation puts the volume at 18.567 Å³/atom.

***

Entry from Alexandria via LeMat-Bulk: a relaxed LiLa2GaPd6 crystal (PBE-GGA).

The structure belongs to space group P-1 (No. 2); the cell edges are 5.899, 5.901 and 7.427 Å and the angles 66.69°, 66.66° and 60.05°. The asymmetric unit holds Li at (0.000, 0.000, 0.000), La at (0.242, 0.243, 0.272), Ga at (0.500, 0.500, 0.500), Pd at (0.245, 0.244, 0.774), Pd at (0.245, 0.734, 0.777) and Pd at (0.264, 0.757, 0.225).

Its energy relative to the elements is -57 kJ per mole of atoms. The calculation puts the volume at 19.921 Å³/atom.

***

Entry from Alexandria via LeMat-Bulk: a relaxed HfZnO crystal (PBE-GGA).

The structure belongs to space group Cmcm (No. 63); the cell edges are 3.100, 17.553 and 3.863 Å and the angles 90.00°, 90.00° and 90.00°. The asymmetric unit holds Hf at (0.000, 0.180, 0.250), Zn at (0.000, 0.454, 0.750) and O at (0.000, 0.220, 0.750).

The calculation puts the volume at 17.518 Å³/atom. The formation energy (no corrections) is -4.186 eV/f.u.

***

Entry from Alexandria via LeMat-Bulk: a relaxed Th2ZnNi12B3 crystal (PBE-GGA).

The structure belongs to space group R-3m (No. 166, hexagonal axes); the cell edges are 7.2527, 7.2527 and 15.8914 Å and the angles 90.00°, 90.00° and 120.00°. The asymmetric unit holds Th at (0.0000, 0.0000, 0.1049), Zn at (0.0000, 0.0000, 0.5000), Ni at (0.0236, 0.5118, 0.8794), Ni at (0.0662, 0.5331, 0.3139) and B at (0.0000, 0.5000, 0.0000).

Its energy relative to the elements is -11 kJ per mole of atoms. The calculation puts the volume at 13.406 Å³/atom.

***

Entry from Alexandria via LeMat-Bulk: a relaxed KLiF3 crystal (PBE-GGA).

The structure belongs to space group R-3m (No. 166, hexagonal axes); the cell edges are 5.8312, 5.8312 and 6.6579 Å and the angles 90.00°, 90.00° and 120.00°. The asymmetric unit holds K at (0.0000, 0.0000, 0.0000), Li at (0.0000, 0.0000, 0.5000) and F at (0.0000, 0.5000, 0.0000).

The calculation puts the volume at 13.070 Å³/atom. The formation energy (no corrections) is -11.316 eV/f.u.

***

Entry from Alexandria via LeMat-Bulk: a relaxed Pu2Ga2Ni crystal (PBE-GGA).

The structure belongs to space group C2/m (No. 12); the cell edges are 10.052, 4.408 and 10.296 Å and the angles 90.00°, 116.69° and 90.00°. The asymmetric unit holds Pu at (0.005, 0.000, 0.171), Pu at (0.191, 0.000, 0.604), Ga at (0.004, 0.500, 0.376), Ga at (0.159, 0.500, 0.060) and Ni at (0.226, 0.500, 0.850).

Its energy relative to the elements is -28 kJ per mole of atoms. The calculation puts the volume at 20.381 Å³/atom.

***

Entry from Alexandria via LeMat-Bulk: a relaxed RbNa2Fe crystal (PBE-GGA).

The structure belongs to space group Fm-3m (No. 225); the cell edges are 8.182, 8.182 and 8.182 Å and the angles 90.00°, 90.00° and 90.00°. The asymmetric unit holds Rb at (0.000, 0.000, 0.000), Na at (0.250, 0.250, 0.250) and Fe at (0.000, 0.000, 0.500).

Its energy relative to the elements is 77 kJ per mole of atoms. The calculation puts the volume at 34.235 Å³/atom.

***

Entry from Alexandria via LeMat-Bulk: a relaxed CsBaCu2I6 crystal (PBE-GGA).

The structure belongs to space group R-3 (No. 148, hexagonal axes); the cell edges are 7.7604, 7.7604 and 31.0462 Å and the angles 90.00°, 90.00° and 120.00°. The asymmetric unit holds Cs at (0.0000, 0.0000, 0.0000), Ba at (0.0000, 0.0000, 0.5000), Cu at (0.0000, 0.0000, 0.2372) and I at (0.0057, 0.3461, 0.4274).

The calculation puts the volume at 53.974 Å³/atom. The formation energy (no corrections) is -8.582 eV/f.u.

***

Entry from Alexandria via LeMat-Bulk: a relaxed Li4NdLu crystal (PBE-GGA).

The structure belongs to space group F-43m (No. 216); the cell edges are 8.285, 8.285 and 8.285 Å and the angles 90.00°, 90.00° and 90.00°. The asymmetric unit holds Li at (0.125, 0.125, 0.125), Nd at (0.250, 0.250, 0.750) and Lu at (0.000, 0.000, 0.500).

Its energy relative to the elements is 11 kJ per mole of atoms. The calculation puts the volume at 23.694 Å³/atom.

***

Entry from Alexandria via LeMat-Bulk: a relaxed PuUTeS2 crystal (PBE-GGA).

The structure belongs to space group I4mm (No. 107); the cell edges are 4.391, 4.391 and 13.391 Å and the angles 90.00°, 90.00° and 90.00°. The asymmetric unit holds Pu at (0.000, 0.000, 0.000), U at (0.000, 0.000, 0.265), Te at (0.000, 0.000, 0.633) and S at (0.000, 0.500, 0.378).

The calculation puts the volume at 25.825 Å³/atom. The formation energy (no corrections) is -5.297 eV/f.u.

***

Entry from Alexandria via LeMat-Bulk: a relaxed RbHfCuSe3 crystal (PBE-GGA).

The structure belongs to space group P2_1/m (No. 11); the cell edges are 9.084, 3.921 and 9.857 Å and the angles 90.00°, 113.77° and 90.00°. The asymmetric unit holds Rb at (0.228, 0.250, 0.258), Hf at (0.312, 0.750, 0.834), Cu at (0.085, 0.250, 0.600), Se at (0.122, 0.250, 0.860), Se at (0.221, 0.750, 0.547) and Se at (0.469, 0.750, 0.142).

The calculation puts the volume at 26.775 Å³/atom. The formation energy (no corrections) is -6.729 eV/f.u.

***

Entry from Alexandria via LeMat-Bulk: a relaxed ThBiSe3 crystal (PBE-GGA).

The structure belongs to space group P-1 (No. 2); the cell edges are 4.278, 8.110 and 8.973 Å and the angles 83.35°, 82.50° and 88.29°. The asymmetric unit holds Th at (0.214, 0.225, 0.096), Bi at (0.186, 0.389, 0.618), Se at (0.237, 0.603, 0.111), Se at (0.294, 0.024, 0.833) and Se at (0.348, 0.710, 0.660).

The calculation puts the volume at 30.653 Å³/atom. The formation energy (no corrections) is -5.489 eV/f.u.

***

Entry from Alexandria via LeMat-Bulk: a relaxed ZrCdFe2H crystal (PBE-GGA).

The structure belongs to space group P4/mmm (No. 123); the cell edges are 4.808, 4.808 and 3.318 Å and the angles 90.00°, 90.00° and 90.00°. The asymmetric unit holds Zr at (0.000, 0.000, 0.000), Cd at (0.500, 0.500, 0.500), Fe at (0.000, 0.500, 0.500) and H at (0.500, 0.500, 0.000).

The total energy comes out at -4.77 eV per atom. The calculation puts the volume at 15.343 Å³/atom.

***

Entry from Alexandria via LeMat-Bulk: a relaxed SnSeNO2 crystal (PBE-GGA).

The structure belongs to space group P4/mmm (No. 123); the cell edges are 3.948, 3.948 and 4.072 Å and the angles 90.00°, 90.00° and 90.00°. The asymmetric unit holds Sn at (0.000, 0.000, 0.000), Se at (0.500, 0.500, 0.500), N at (0.500, 0.500, 0.000) and O at (0.000, 0.500, 0.500).

The calculation puts the volume at 12.691 Å³/atom. The formation energy (no corrections) is 0.969 eV/f.u.

***

Entry from Alexandria via LeMat-Bulk: a relaxed YSiTeN2 crystal (PBE-GGA).

The structure belongs to space group P4/mmm (No. 123); the cell edges are 3.954, 3.954 and 5.300 Å and the angles 90.00°, 90.00° and 90.00°. The asymmetric unit holds Y at (0.000, 0.000, 0.000), Si at (0.500, 0.500, 0.500), Te at (0.500, 0.500, 0.000) and N at (0.000, 0.500, 0.500).

The calculation puts the volume at 16.569 Å³/atom. The formation energy (no corrections) is 1.602 eV/f.u.

***

Entry from Alexandria via LeMat-Bulk: a relaxed In2SbMo crystal (PBE-GGA).

The structure belongs to space group I-4m2 (No. 119); the cell edges are 4.463, 4.463 and 8.849 Å and the angles 90.00°, 90.00° and 90.00°. The asymmetric unit holds In at (0.000, 0.000, 0.000), In at (0.000, 0.500, 0.250), Sb at (0.000, 0.000, 0.500) and Mo at (0.000, 0.500, 0.750).

The calculation puts the volume at 22.033 Å³/atom. The formation energy (no corrections) is 1.944 eV/f.u.

***

Entry from Alexandria via LeMat-Bulk: a relaxed NaSnAs2O8 crystal (PBE-GGA).

The structure belongs to space group R32 (No. 155, hexagonal axes); the cell edges are 5.0379, 5.0379 and 24.2052 Å and the angles 90.00°, 90.00° and 120.00°. The asymmetric unit holds Na at (0.0000, 0.0000, 0.0000), Sn at (0.0000, 0.0000, 0.5000), As at (0.0000, 0.0000, 0.2447), O at (0.0000, 0.0000, 0.3150) and O at (0.0026, 0.3574, 0.1116).

The calculation puts the volume at 14.779 Å³/atom. The formation energy (no corrections) is -14.062 eV/f.u.

***

Entry from Alexandria via LeMat-Bulk: a relaxed Tc2IrW crystal (PBE-GGA).

The structure belongs to space group Cm (No. 8); the cell edges are 9.166, 2.753 and 4.815 Å and the angles 90.00°, 99.94° and 90.00°. The asymmetric unit holds Tc at (0.000, 0.000, 0.000), Tc at (0.246, 0.000, 0.767), Ir at (0.002, 0.500, 0.513) and W at (0.251, 0.500, 0.267).

Its energy relative to the elements is -5 kJ per mole of atoms. The calculation puts the volume at 14.957 Å³/atom.